Here is a relaxed BeSi3 crystal from the Alexandria database. Energies are from PBEsol.

Unit cell a=2.5145 b=2.5145 c=8.0920 alpha=90.00 beta=90.00 gamma=90.92
With the nearest neighbours (Å) after each atom.
Fractional positions:
Be  0.0000  0.0000  0.0000  8 Si 2.48-2.50, 4 Be 2.51
Si  0.0000  0.0000  0.5000  4 Si 2.51
Si  0.5000  0.5000  0.2150  4 Be 2.48-2.50, 4 Si 2.51
Si  0.5000  0.5000  0.7850  4 Be 2.48-2.50, 4 Si 2.51

Distance to the lowest polymorph of the same formula, meV per atom: 0
Electronic total energy, eV per cell: -19.828

***

Here is a relaxed BaTe2Br crystal from the Alexandria database. Energies are from PBEsol.

Unit cell a=4.4218 b=4.4218 c=6.8997 alpha=90.00 beta=90.00 gamma=90.00
With the nearest neighbours (Å) after each atom.
Fractional positions:
Ba  0.0000  0.0000  0.0000  4 Br 3.21, 4 Te 3.57
Te  0.0000  0.5000  0.5929  4 Te 3.13
Te  0.5000  0.0000  0.5929  4 Te 3.13
Br  0.5000  0.5000  0.1067  4 Ba 3.21

Distance to the lowest polymorph of the same formula, meV per atom: 1
Electronic total energy, eV per cell: -15.990